VASP calculation (GGA-PBE) on ZrCuNi3 after structural relaxation.

a b c (Å): 4.5559 4.5559 4.5559
angles (deg): 90.00 90.00 90.00
Closest atoms and distances in Å follow each position.
Space group Pm-3m (No. 221)
One atom of each set of equivalent atoms:
Zr  0.0000  0.0000  0.0000 (multiplicity 1)  6 Ni 2.28
Cu  0.5000  0.5000  0.5000 (multiplicity 1)  12 Ni 3.22
Ni  0.0000  0.0000  0.5000 (multiplicity 3)  2 Zr 2.28

Calculated values
* V: 94.6 Å³ per cell
* M_tot: 0.0 μB per formula unit
* E_form: 1312 meV per atom
* energy above the most stable polymorph in this dataset: 1.366 eV per atom
* total DFT energy (no corrections): -23.43 eV for the cell shown


VASP calculation (GGA-PBE) on Zr2CuNi4 after structural relaxation.

a b c (Å): 8.0010 4.7035 6.0452
angles (deg): 90.00 100.90 90.00
Closest atoms and distances in Å follow each position.
Space group C2/m (No. 12)
One atom of each set of equivalent atoms:
Zr  0.0473  0.0000  0.2624 (multiplicity 4)  8 Ni 2.62-2.85, 2 Cu 2.82
Cu  0.0000  0.5000  0.0000 (multiplicity 2)  6 Ni 2.32-2.57
Ni  0.2281  0.5000  0.3617 (multiplicity 4)  2 Ni 2.52, 1 Cu 2.57, 4 Zr 2.62-2.77
Ni  0.2500  0.2500  0.0000 (multiplicity 4)  2 Cu 2.32, 4 Ni 2.35-2.52

Calculated values
* V: 223.4 Å³ per cell
* M_tot: 0.0 μB per formula unit
* E_form: -47 meV per atom
* energy above the most stable polymorph in this dataset: 0.050 eV per atom
* total DFT energy (no corrections): -89.30 eV for the cell shown


VASP calculation (GGA-PBE) on ZrCuNi3 after structural relaxation.

a b c (Å): 5.8171 5.8171 4.7849
angles (deg): 90.00 90.00 120.00
Closest atoms and distances in Å follow each position.
Space group P6_3/mmc (No. 194)
One atom of each set of equivalent atoms:
Zr  0.3333  0.6667  0.2500 (multiplicity 2)  12 Ni 2.74-2.93
Cu  0.0000  0.0000  0.0000 (multiplicity 2)  6 Ni 2.34, 2 Cu 2.39
Ni  0.2001  0.4002  0.7500 (multiplicity 6)  2 Ni 2.33, 2 Cu 2.34

Calculated values
* V: 140.2 Å³ per cell
* M_tot: 0.0 μB per formula unit
* E_form: -54 meV per atom
* energy above the most stable polymorph in this dataset: 0.000 eV per atom
* total DFT energy (no corrections): -60.52 eV for the cell shown


Copy entry 3 word for word.
VASP calculation (GGA-PBE) on ZrCuNi3 after structural relaxation.

a b c (Å): 5.8171 5.8171 4.7849
angles (deg): 90.00 90.00 120.00
Closest atoms and distances in Å follow each position.
Space group P6_3/mmc (No. 194)
One atom of each set of equivalent atoms:
Zr  0.3333  0.6667  0.2500 (multiplicity 2)  12 Ni 2.74-2.93
Cu  0.0000  0.0000  0.0000 (multiplicity 2)  6 Ni 2.34, 2 Cu 2.39
Ni  0.2001  0.4002  0.7500 (multiplicity 6)  2 Ni 2.33, 2 Cu 2.34

Calculated values
* V: 140.2 Å³ per cell
* M_tot: 0.0 μB per formula unit
* E_form: -54 meV per atom
* energy above the most stable polymorph in this dataset: 0.000 eV per atom
* total DFT energy (no corrections): -60.52 eV for the cell shown